This record from the Alexandria database describes a geometry-optimized LiTbGe2Os structure. The functional is PBE.

The calculated density is 9.2 g/cm³. The calculation puts the energy of formation from the pure elements at -0.417 eV per atom. The calculation puts the volume at 18.0 Å³ per atom. The value obtained for the total magnetization is 0.00 μB/f.u.

The structure belongs to space group I-4m2 (No. 119); the cell edges are 4.1555, 4.1555 and 10.4284 Å and the angles 90.00°, 90.00° and 90.00°. The asymmetric unit holds Li at (0.0000, 0.0000, 0.0000), Tb at (0.0000, 0.5000, 0.7500), Ge at (0.0000, 0.5000, 0.1262) and Os at (0.0000, 0.0000, 0.5000).

=====

This record from the Alexandria database describes a geometry-optimized LiThGeOs structure. The functional is PBE.

The calculated density is 11.2 g/cm³. The calculation puts the energy of formation from the pure elements at -0.222 eV per atom. The calculation puts the volume at 18.5 Å³ per atom. The value obtained for the total magnetization is 0.00 μB/f.u.

The structure belongs to space group F-43m (No. 216); the cell edges are 6.6672, 6.6672 and 6.6672 Å and the angles 90.00°, 90.00° and 90.00°. The asymmetric unit holds Li at (0.0000, 0.0000, 0.0000), Th at (0.2500, 0.2500, 0.7500), Ge at (0.2500, 0.2500, 0.2500) and Os at (0.0000, 0.0000, 0.5000).

=====

This record from the Alexandria database describes a geometry-optimized LiTmGe2Os structure. The functional is PBE.

The calculated density is 9.6 g/cm³. The calculation puts the energy of formation from the pure elements at -0.387 eV per atom. The calculation puts the volume at 17.6 Å³ per atom. The value obtained for the total magnetization is 0.00 μB/f.u.

The structure belongs to space group I-4m2 (No. 119); the cell edges are 4.1173, 4.1173 and 10.4026 Å and the angles 90.00°, 90.00° and 90.00°. The asymmetric unit holds Li at (0.0000, 0.0000, 0.0000), Tm at (0.0000, 0.5000, 0.7500), Ge at (0.0000, 0.5000, 0.1281) and Os at (0.0000, 0.0000, 0.5000).

=====

This record from the Alexandria database describes a geometry-optimized LiUGeOs structure. The functional is PBE.

The calculated density is 12.4 g/cm³. The calculation puts the energy of formation from the pure elements at -0.014 eV per atom. The calculation puts the volume at 17.0 Å³ per atom. The value obtained for the total magnetization is 1.38 μB/f.u.

The structure belongs to space group F-43m (No. 216); the cell edges are 6.4748, 6.4748 and 6.4748 Å and the angles 90.00°, 90.00° and 90.00°. The asymmetric unit holds Li at (0.0000, 0.0000, 0.0000), U at (0.2500, 0.2500, 0.7500), Ge at (0.2500, 0.2500, 0.2500) and Os at (0.0000, 0.0000, 0.5000).

=====

This record from the Alexandria database describes a geometry-optimized LiGeOsW structure. The functional is PBE.

The calculated density is 13.4 g/cm³. The calculation puts the energy of formation from the pure elements at 0.008 eV per atom. The calculation puts the volume at 14.1 Å³ per atom. The value obtained for the total magnetization is 0.00 μB/f.u.

The structure belongs to space group F-43m (No. 216); the cell edges are 6.0831, 6.0831 and 6.0831 Å and the angles 90.00°, 90.00° and 90.00°. The asymmetric unit holds Li at (0.0000, 0.0000, 0.0000), Ge at (0.2500, 0.2500, 0.7500), Os at (0.0000, 0.0000, 0.5000) and W at (0.2500, 0.2500, 0.2500).

=====

This record from the Alexandria database describes a geometry-optimized LiYGe2Os structure. The functional is PBE.

The calculated density is 8.0 g/cm³. The calculation puts the energy of formation from the pure elements at -0.420 eV per atom. The calculation puts the volume at 18.0 Å³ per atom. The value obtained for the total magnetization is 0.00 μB/f.u.

The structure belongs to space group I-4m2 (No. 119); the cell edges are 4.1519, 4.1519 and 10.4270 Å and the angles 90.00°, 90.00° and 90.00°. The asymmetric unit holds Li at (0.0000, 0.0000, 0.0000), Y at (0.0000, 0.5000, 0.2500), Ge at (0.0000, 0.5000, 0.6263) and Os at (0.0000, 0.0000, 0.5000).

=====

This record from the Alexandria database describes a geometry-optimized Li2ZrGeOs structure. The functional is PBE.

The calculated density is 7.0 g/cm³. The calculation puts the energy of formation from the pure elements at 0.313 eV per atom. The calculation puts the volume at 17.4 Å³ per atom. The value obtained for the total magnetization is 0.00 μB/f.u.

The structure belongs to space group P4/mmm (No. 123); the cell edges are 4.3034, 4.3034 and 4.6860 Å and the angles 90.00°, 90.00° and 90.00°. The asymmetric unit holds Li at (0.0000, 0.5000, 0.0000), Zr at (0.0000, 0.0000, 0.5000), Ge at (0.5000, 0.5000, 0.0000) and Os at (0.5000, 0.5000, 0.5000).

=====

This record from the Alexandria database describes a geometry-optimized Li2Ge2P structure. The functional is PBE.

The calculated density is 3.5 g/cm³. The calculation puts the energy of formation from the pure elements at -0.077 eV per atom. The calculation puts the volume at 17.9 Å³ per atom. The value obtained for the total magnetization is 0.00 μB/f.u.

The structure belongs to space group P4/mbm (No. 127); the cell edges are 6.4910, 6.4910 and 4.2593 Å and the angles 90.00°, 90.00° and 90.00°. The asymmetric unit holds Li at (0.1650, 0.3350, 0.0000), Ge at (0.1406, 0.6406, 0.5000) and P at (0.0000, 0.0000, 0.5000).